Material: K4Pm3CoO8
Method: DFT, PBE+U
State: optimized geometry

Cell: 12.004 7.126 7.467 Å, 90.00 122.76 90.00°
Space group C2/m (No. 12)
One atom of each set of equivalent atoms:
K 0.000 0.000 0.000
K 0.000 0.500 0.000
K 0.250 0.250 0.000
Pm 0.000 0.000 0.500
Pm 0.250 0.250 0.500
Co 0.000 0.500 0.500
O 0.018 0.245 0.300
O 0.191 0.500 0.661
O 0.234 0.000 0.692

E = -196.6 eV for the cell shown
M_tot = 4.2 μB/f.u.